Arrangement 1

A relaxed Pr3Tl2Ga crystal, computed with PBE.

Lattice parameters (Å, degrees): 3.8290 3.8290 11.8465 90.00 90.00 90.00
Element x y z (fractional)
Ga: 0.5000 0.5000 0.5000
Pr: 0.0000 0.0000 0.0000
Pr: 0.0000 0.0000 0.6527
Pr: 0.0000 0.0000 0.3473
Tl: 0.5000 0.5000 0.8276
Tl: 0.5000 0.5000 0.1724

Magnetization (μB per cell): 0.00



Arrangement 2

A relaxed Pr3Tl2Ga crystal, computed with PBE.

Lattice parameters (Å, degrees): 3.8069 5.5251 16.5039 90.00 90.00 90.00
Element x y z (fractional)
Pr: 0.5003 0.0000 0.1558
Tl: 0.0001 0.0000 0.6729
Tl: 0.9999 0.5000 0.1729
Pr: 0.5003 0.0000 0.8442
Ga: 0.0001 0.5000 0.5000
Pr: 0.5017 0.0000 0.5000
Pr: 0.4997 0.5000 0.6558
Tl: 0.9999 0.5000 0.8271
Pr: 0.4983 0.5000 0.0000
Tl: 0.0001 0.0000 0.3271
Pr: 0.4997 0.5000 0.3442
Ga: 0.9999 0.0000 0.0000

Magnetization (μB per cell): 0.00



Stability verdict: arrangement 1, ahead by 0.6 kJ/mol of atoms



Arrangement 1

A relaxed Pr3TlGa crystal, computed with PBE.

Lattice parameters (Å, degrees): 4.5040 7.1857 11.0074 90.00 90.00 108.26
Element x y z (fractional)
Pr: 0.1145 0.2289 0.7500
Pr: 0.6579 0.3157 0.0714
Pr: 0.3421 0.6843 0.5714
Ga: 0.7711 0.5422 0.7500
Pr: 0.8855 0.7711 0.2500
Tl: 0.0000 0.0000 0.0000
Tl: 0.0000 0.0000 0.5000
Pr: 0.3421 0.6843 0.9286
Ga: 0.2289 0.4578 0.2500
Pr: 0.6579 0.3157 0.4286

Magnetization (μB per cell): 0.00



Arrangement 2

A relaxed Pr3TlGa crystal, computed with PBE.

Lattice parameters (Å, degrees): 6.0715 6.0715 9.2416 103.50 103.50 106.79
Element x y z (fractional)
Ga: 0.2500 0.2500 0.0000
Pr: 0.1911 0.6911 0.8821
Tl: 0.2031 0.7031 0.5003
Pr: 0.4084 0.2966 0.7049
Tl: 0.7969 0.2969 0.4997
Pr: 0.5916 0.7034 0.2951
Pr: 0.2034 0.0916 0.2951
Pr: 0.7966 0.9084 0.7049
Pr: 0.8089 0.3089 0.1179
Ga: 0.7500 0.7500 0.0000

Magnetization (μB per cell): 0.00



Stability verdict: arrangement 2, ahead by 11.7 kJ/mol of atoms